No. 1
## Pm2DyThN4 (PBE)

Data for Pm2DyThN4 after structural relaxation.

Cell: 6.209 3.602 6.226 Å, 90.00 109.31 90.00°
Space group P2/m (No. 10)
Unique sites:
Pm (0.000, 0.000, 0.000) x1
Pm (0.500, 0.500, 0.000) x1
Dy (0.000, 0.500, 0.500) x1
Th (0.500, 0.000, 0.500) x1
N (0.247, 0.000, 0.739) x2
N (0.252, 0.500, 0.260) x2

Output
Energy in hartree per atom: -0.309
DOS(E_F) in states/eV per cell: 1.8
Energy relative to the elements, uncorrected in meV/atom: -1568
Size of the total moment in μB/f.u.: 0.000


No. 2
## PmDy2ThN4 (PBE)

Data for PmDy2ThN4 after structural relaxation.

Cell: 6.154 3.565 6.159 Å, 90.00 109.35 90.00°
Space group P2/m (No. 10)
Unique sites:
Pm (0.000, 0.000, 0.000) x1
Dy (0.500, 0.000, 0.500) x1
Dy (0.500, 0.500, 0.000) x1
Th (0.000, 0.500, 0.500) x1
N (0.255, 0.000, 0.748) x2
N (0.256, 0.500, 0.258) x2

Output
Energy in hartree per atom: -0.311
DOS(E_F) in states/eV per cell: 1.7
Energy relative to the elements, uncorrected in meV/atom: -1617
Size of the total moment in μB/f.u.: 0.000


No. 3
## PmDy2TiN4 (PBE)

Data for PmDy2TiN4 after structural relaxation.

Cell: 3.411 11.769 11.896 Å, 90.00 90.00 90.00°
Space group Cmcm (No. 63)
Unique sites:
Pm (0.000, 0.099, 0.250) x4
Dy (0.000, 0.370, 0.039) x8
Ti (0.000, 0.165, 0.750) x4
N (0.000, 0.000, 0.000) x4
N (0.000, 0.263, 0.625) x8
N (0.000, 0.433, 0.250) x4

Output
Energy in hartree per atom: -0.307
DOS(E_F) in states/eV per cell: 11.3
Energy relative to the elements, uncorrected in meV/atom: -1466
Size of the total moment in μB/f.u.: 0.000


No. 4
## PmDyTiN3 (PBE)

Data for PmDyTiN3 after structural relaxation.

Cell: 7.204 3.554 7.766 Å, 90.00 98.13 90.00°
Space group P2_1/m (No. 11)
Unique sites:
Pm (0.168, 0.250, 0.166) x2
Dy (0.368, 0.750, 0.842) x2
Ti (0.101, 0.250, 0.599) x2
N (0.110, 0.250, 0.850) x2
N (0.172, 0.750, 0.521) x2
N (0.402, 0.750, 0.138) x2

Output
Energy in hartree per atom: -0.307
DOS(E_F) in states/eV per cell: 3.3
Energy relative to the elements, uncorrected in meV/atom: -1327
Size of the total moment in μB/f.u.: 0.000